A plane-wave DFT calculation with PBE with a Hubbard U was carried out for MnAl2IO after structural relaxation.

Cell: 4.5889 4.6696 4.5889 Å, 90.00 90.00 90.00°
With the nearest neighbours (Å) after each atom.
Atoms (fractional coordinates):
1 O 0.5000 0.5000 0.5000  4 I 3.24, 8 Al 3.27
2 I 0.0000 0.5000 0.0000  2 Mn 2.33
3 Mn 0.0000 0.0000 0.0000  4 Al 2.29, 2 I 2.33
4 Al 0.5000 0.0000 0.0000  2 Mn 2.29
5 Al 0.0000 0.0000 0.5000  2 Mn 2.29

Calculated values
The magnetization is 0.0 μB/f.u. For the calculated volume, the calculation gives 98.33 Å³ per cell. For the total energy, the calculation gives -15.139 eV for the cell shown.